This record from the Alexandria database describes an optimized crystal structure of Zn3Fe. The functional is PBE-GGA.

POSCAR file:
```
Zn3Fe
1.0
2.6221 0.0000 0.0000
0.0000 4.2387 0.0000
-0.7613 0.0000 4.8894
Zn Fe
3 1
Direct
0.0000 0.0000 0.0000
0.2185 0.5000 0.7398
0.7815 0.5000 0.2602
0.5000 0.0000 0.5000
```

## Properties
- SG = P2/m, No. 10
- formation enthalpy at 0 K (eV per atom) = 0.06
- Fermi-level density of states (states/eV/f.u.) = 2.18
- total magnetic moment (μB/f.u.) = 2.17

This record from the Alexandria database describes an optimized crystal structure of K2ZrW. The functional is PBE-GGA.

POSCAR file:
```
K2ZrW
1.0
-6.1938 6.1938 2.4727
6.1938 -6.1938 2.4727
6.1938 6.1938 -2.4727
K Zr W
4 2 2
Direct
0.3750 0.2401 0.3651
0.7599 0.1250 0.1349
0.8750 0.0099 0.6349
0.9901 0.6250 0.8651
0.2500 0.7500 0.5000
0.5000 0.5000 0.0000
0.0000 0.0000 0.0000
0.7500 0.2500 0.5000
```

## Properties
- SG = I-42d, No. 122
- formation enthalpy at 0 K (eV per atom) = 1.72
- Fermi-level density of states (states/eV/f.u.) = 5.75
- total magnetic moment (μB/f.u.) = 1.78

This record from the Alexandria database describes an optimized crystal structure of Sc2PtS. The functional is PBE-GGA.

POSCAR file:
```
Sc2PtS
1.0
1.8170 -10.6134 0.0000
1.8170 10.6134 0.0000
0.0000 0.0000 3.8649
Sc Pt S
4 2 2
Direct
0.0698 0.9302 0.7500
0.3165 0.6835 0.7500
0.6835 0.3165 0.2500
0.9302 0.0698 0.2500
0.4500 0.5500 0.7500
0.5500 0.4500 0.2500
0.1931 0.8069 0.7500
0.8069 0.1931 0.2500
```

## Properties
- SG = Cmcm, No. 63
- energy relative to the elements, uncorrected (meV/atom) = -1523
- Fermi-level density of states (states/eV/f.u.) = 2.74
- total magnetic moment (μB/f.u.) = 0.00

This record from the Alexandria database describes an optimized crystal structure of PrNi2H. The functional is PBE-GGA.

POSCAR file:
```
PrNi2H
1.0
1.5344 0.8859 6.9975
-1.5344 0.8859 6.9975
0.0000 -1.7717 6.9975
Pr Ni H
1 2 1
Direct
0.0000 0.0000 0.0000
0.1264 0.1264 0.1264
0.8736 0.8736 0.8736
0.5000 0.5000 0.5000
```

## Properties
- SG = R-3m, No. 166
- Fermi-level density of states (states/eV/f.u.) = 1.73
- E (eV/atom) = -4.443
- total magnetic moment (μB/f.u.) = 0.00

This record from the Alexandria database describes an optimized crystal structure of Yb6Ti. The functional is PBE-GGA.

POSCAR file:
```
Yb6Ti
1.0
-4.5683 4.5683 4.5683
4.5683 -4.5683 4.5683
4.5683 4.5683 -4.5683
Yb Ti
6 1
Direct
0.2500 0.5000 0.7500
0.2500 0.7500 0.5000
0.5000 0.2500 0.7500
0.5000 0.7500 0.2500
0.7500 0.2500 0.5000
0.7500 0.5000 0.2500
0.0000 0.0000 0.0000
```

## Properties
- SG = Im-3m, No. 229
- formation enthalpy at 0 K (eV per atom) = 1.59
- Fermi-level density of states (states/eV/f.u.) = 25.46
- total magnetic moment (μB/f.u.) = 0.00

This record from the Alexandria database describes an optimized crystal structure of NaH8Pd6. The functional is PBE-GGA.

POSCAR file:
```
NaH8Pd6
1.0
2.8524 1.6468 5.1749
-2.8524 1.6468 5.1749
0.0000 -3.2936 5.1749
Na H Pd
1 8 6
Direct
0.0000 0.0000 0.0000
0.1878 0.7157 0.7157
0.2843 0.2843 0.8122
0.2843 0.8122 0.2843
0.3112 0.3112 0.3112
0.6888 0.6888 0.6888
0.7157 0.1878 0.7157
0.7157 0.7157 0.1878
0.8122 0.2843 0.2843
0.0808 0.5924 0.5924
0.4076 0.4076 0.9192
0.4076 0.9192 0.4076
0.5924 0.0808 0.5924
0.5924 0.5924 0.0808
0.9192 0.4076 0.4076
```

## Properties
- SG = R-3m, No. 166
- Fermi-level density of states (states/eV/f.u.) = 1.87
- E (eV/atom) = -4.018
- total magnetic moment (μB/f.u.) = 0.00

- What is the formula in the second record?
  K2ZrW

- Which of these has the lowest Fermi-level density of states?
  PrNi2H

- Look up the total magnetic moment of the fourth one.
  0.00 μB/f.u.

- Which value of Fermi-level density of states does entry 6 give?
  1.87 states/eV/f.u.